NdHoEr5Sc2 PBE-GGA optimized geometry; electronic total energy = -4.81 eV per atom; total moment = 0.00 μB/cell; ΔH_f (0 K) = 172 meV per atom
1.0
-1.465 3.346 -4.177
-6.724 -8.671 -0.902
-6.169 4.209 5.535
Ho Er Nd Sc
2 10 2 4
Direct
0.189 0.379 0.019
0.811 0.621 0.519
0.469 0.938 0.749
0.307 0.614 0.722
0.992 0.984 0.522
0.735 0.470 0.835
0.265 0.530 0.335
0.008 0.016 0.022
0.693 0.386 0.222
0.609 0.219 0.543
0.531 0.062 0.249
0.391 0.781 0.043
0.402 0.805 0.417
0.598 0.195 0.917
0.857 0.714 0.193
0.143 0.286 0.693
0.887 0.773 0.824
0.113 0.227 0.324


Nd2HoEr6Sc3 PBE-GGA optimized geometry; electronic total energy = -4.99 eV per atom; total moment = 0.00 μB/cell; ΔH_f (0 K) = 46 meV per atom
1.0
-3.800 -4.407 -1.629
5.852 -0.364 -1.463
1.407 -3.797 10.726
Sc Er Nd Ho
3 6 2 1
Direct
0.500 0.500 0.500
0.834 0.166 0.500
0.166 0.834 0.500
0.420 0.087 0.261
0.087 0.420 0.261
0.913 0.580 0.739
0.754 0.754 0.261
0.580 0.913 0.739
0.246 0.246 0.739
0.667 0.333 0.000
0.333 0.667 0.000
0.000 0.000 0.000


NdHoEr2Sc4 PBE-GGA optimized geometry; electronic total energy = -5.04 eV per atom; total moment = 6.89 μB/cell; ΔH_f (0 K) = 437 meV per atom
1.0
-1.328 2.796 -8.537
-0.175 -8.554 -3.042
-4.454 4.142 9.488
Er Nd Sc Ho
4 2 8 2
Direct
0.000 0.000 0.500
0.500 0.000 0.500
0.500 0.000 0.000
0.500 0.500 0.000
0.500 0.500 0.500
0.000 0.000 0.000
0.748 0.749 0.002
0.747 0.253 0.000
0.751 0.752 0.498
0.253 0.747 0.000
0.753 0.247 0.500
0.247 0.753 0.500
0.252 0.251 0.998
0.249 0.248 0.502
0.000 0.500 0.000
0.000 0.500 0.500


NdHoErSc PBE-GGA optimized geometry; polymorph energy (0 for the lowest one) = 0 meV/atom; electronic total energy = -5.00 eV per atom; total moment = 0.00 μB/cell; ΔH_f (0 K) = 56 meV per atom
1.0
3.518 -0.001 0.000
-1.759 3.048 0.001
-1.755 -1.018 11.286
Nd Sc Er Ho
1 1 1 1
Direct
0.964 0.380 0.359
0.133 0.965 0.112
0.307 0.551 0.875
0.474 0.135 0.624


NdHo3Er6Sc2 PBE-GGA optimized geometry; electronic total energy = -4.84 eV per atom; total moment = 0.00 μB/cell; ΔH_f (0 K) = 37 meV per atom
1.0
-1.102 1.676 -5.686
4.901 -3.271 1.278
-7.211 -9.038 -0.204
Er Ho Sc Nd
6 3 2 1
Direct
0.581 0.917 0.753
0.917 0.581 0.753
0.747 0.747 0.247
0.419 0.083 0.247
0.253 0.253 0.753
0.083 0.419 0.247
0.167 0.833 0.500
0.833 0.167 0.500
0.500 0.500 0.500
0.333 0.667 0.000
0.667 0.333 0.000
0.000 0.000 0.000


Nd2Ho6Er3Sc PBE-GGA optimized geometry; electronic total energy = -4.72 eV per atom; total moment = 0.00 μB/cell; ΔH_f (0 K) = 27 meV per atom
1.0
-0.879 -0.803 -5.980
-3.908 -2.420 4.006
-4.739 10.692 0.294
Er Nd Ho Sc
3 2 6 1
Direct
0.166 0.834 0.500
0.500 0.500 0.500
0.834 0.166 0.500
0.334 0.666 0.000
0.666 0.334 0.000
0.916 0.586 0.748
0.084 0.414 0.252
0.414 0.084 0.252
0.247 0.247 0.748
0.586 0.916 0.748
0.753 0.753 0.252
0.000 0.000 0.000


NdHoEr2Sc PBE-GGA optimized geometry; electronic total energy = -4.63 eV per atom; total moment = 0.00 μB/cell; ΔH_f (0 K) = 332 meV per atom
1.0
-2.108 2.784 6.150
-5.624 -5.862 0.725
6.509 -0.280 2.357
Nd Ho Er Sc
2 2 4 2
Direct
0.250 0.730 0.459
0.750 0.270 0.541
0.250 0.267 0.535
0.750 0.733 0.465
0.500 0.697 0.000
0.000 0.303 0.000
0.500 0.303 0.000
0.000 0.697 0.000
0.250 0.995 0.990
0.750 0.005 0.010


Nd5HoEr2Sc PBE-GGA optimized geometry; electronic total energy = -4.75 eV per atom; total moment = 0.00 μB/cell; ΔH_f (0 K) = 126 meV per atom
1.0
5.361 0.000 0.000
-2.680 10.915 0.000
0.000 0.000 10.247
Nd Er Sc Ho
10 4 2 2
Direct
0.500 0.000 0.758
0.279 0.558 0.321
0.500 0.000 0.258
0.627 0.254 0.508
0.001 0.002 0.508
0.721 0.442 0.196
0.279 0.558 0.696
0.721 0.442 0.821
0.999 0.998 0.008
0.373 0.746 0.008
0.884 0.769 0.261
0.115 0.231 0.255
0.885 0.769 0.755
0.116 0.231 0.761
0.213 0.426 0.009
0.787 0.574 0.509
0.399 0.798 0.508
0.601 0.202 0.008


NdHo6Er2Sc3 PBE-GGA optimized geometry; electronic total energy = -4.99 eV per atom; total moment = 0.00 μB/cell; ΔH_f (0 K) = 45 meV per atom
1.0
-3.816 -0.294 4.655
3.248 -4.837 -1.540
8.418 5.019 5.918
Sc Er Ho Nd
3 2 6 1
Direct
0.500 0.500 0.500
0.833 0.167 0.500
0.167 0.833 0.500
0.667 0.333 0.000
0.333 0.667 0.000
0.913 0.579 0.740
0.421 0.087 0.260
0.087 0.421 0.260
0.579 0.913 0.740
0.753 0.753 0.260
0.247 0.247 0.740
0.000 0.000 0.000


Nd6HoErSc2 PBE-GGA optimized geometry; electronic total energy = -4.92 eV per atom; total moment = 0.00 μB/cell; ΔH_f (0 K) = 125 meV per atom
1.0
-2.616 2.235 -8.930
3.887 -7.553 -2.300
-8.246 -0.377 3.050
Sc Nd Er Ho
4 12 2 2
Direct
0.548 0.197 0.293
0.952 0.707 0.803
0.452 0.803 0.707
0.048 0.293 0.197
0.118 0.701 0.496
0.948 0.890 0.237
0.882 0.299 0.504
0.618 0.496 0.701
0.552 0.763 0.110
0.815 0.439 0.989
0.315 0.989 0.439
0.052 0.110 0.763
0.448 0.237 0.890
0.382 0.504 0.299
0.185 0.561 0.011
0.685 0.011 0.561
0.750 0.028 0.972
0.250 0.972 0.028
0.250 0.408 0.592
0.750 0.592 0.408


Nd2HoErSc PBE-GGA optimized geometry; electronic total energy = -4.79 eV per atom; total moment = 0.00 μB/cell; ΔH_f (0 K) = 214 meV per atom
1.0
-3.275 1.744 5.388
-6.741 -1.647 -3.565
0.323 -5.844 2.088
Nd Er Sc Ho
4 2 2 2
Direct
0.783 0.297 0.750
0.783 0.703 0.750
0.217 0.703 0.250
0.217 0.297 0.250
0.591 0.000 0.250
0.409 0.000 0.750
0.000 0.000 0.500
0.000 0.000 0.000
0.689 0.500 0.250
0.311 0.500 0.750


NdHo3ErSc PBE-GGA optimized geometry; electronic total energy = -4.86 eV per atom; total moment = 0.00 μB/cell; ΔH_f (0 K) = 39 meV per atom
1.0
4.950 0.000 0.000
-2.475 7.422 0.000
0.000 0.000 9.947
Ho Er Sc Nd
6 2 2 2
Direct
0.332 0.664 0.000
0.668 0.336 0.500
0.830 0.661 0.250
0.170 0.339 0.750
0.668 0.336 0.000
0.332 0.664 0.500
0.000 0.000 0.500
0.000 0.000 0.000
0.832 0.663 0.750
0.168 0.337 0.250
0.497 0.995 0.750
0.503 0.005 0.250


Repeat the seventh record exactly.
NdHoEr2Sc PBE-GGA optimized geometry; electronic total energy = -4.63 eV per atom; total moment = 0.00 μB/cell; ΔH_f (0 K) = 332 meV per atom
1.0
-2.108 2.784 6.150
-5.624 -5.862 0.725
6.509 -0.280 2.357
Nd Ho Er Sc
2 2 4 2
Direct
0.250 0.730 0.459
0.750 0.270 0.541
0.250 0.267 0.535
0.750 0.733 0.465
0.500 0.697 0.000
0.000 0.303 0.000
0.500 0.303 0.000
0.000 0.697 0.000
0.250 0.995 0.990
0.750 0.005 0.010


Q: Which value of ΔH_f (0 K) does entry 3 give?
A: 437 meV per atom


Q: Which value of ΔH_f (0 K) does entry 3 give?
A: 437 meV per atom